Density functional theory data (PBE-GGA) for YHRh3 after structural relaxation.

Cell lengths 7.6395, 7.6395, 5.5831 Å; angles 100.78, 100.78, 28.87 degrees
With the nearest neighbours (Å) after each atom.
Atoms (fractional coordinates):
Y: 0.0807 0.0807 0.2926  8 Rh 2.77-3.04, 2 H 2.95
Y: 0.9193 0.9193 0.7074  8 Rh 2.77-3.04, 2 H 2.95
H: 0.4136 0.4136 0.1087  1 Rh 1.79
H: 0.5864 0.5864 0.8913  1 Rh 1.79
Rh: 0.1103 0.1103 0.7972  2 H 2.02
Rh: 0.2898 0.2898 0.3887  1 H 2.63, 8 Rh 2.67-2.86
Rh: 0.3034 0.3034 0.9066  1 H 1.79
Rh: 0.6966 0.6966 0.0934  1 H 1.79
Rh: 0.7102 0.7102 0.6113  1 H 2.63, 8 Rh 2.67-2.86
Rh: 0.8897 0.8897 0.2028  2 H 2.02

## Properties
DOS(E_F) ... 8.28 states/eV/cell
Total magnetic moment ... 0.00 μB/f.u.
Space group ... C2/m (12)

Density functional theory data (PBE-GGA) for Nd6ErIn6 after structural relaxation.

Cell lengths 6.3980, 6.3980, 11.0863 Å; angles 90.00, 90.00, 120.00 degrees
With the nearest neighbours (Å) after each atom.
Atoms (fractional coordinates):
Nd: 0.0000 0.0000 0.1696  6 In 3.33, 1 Er 3.66
Nd: 0.0000 0.0000 0.8304  6 In 3.33, 1 Er 3.66
Nd: 0.3333 0.6667 0.0000  6 In 3.36, 3 Nd 3.69
Nd: 0.3333 0.6667 0.5000  6 In 3.30, 3 Er 3.69, 3 Nd 3.69
Nd: 0.6667 0.3333 0.0000  6 In 3.36, 3 Nd 3.69
Nd: 0.6667 0.3333 0.5000  6 In 3.30, 3 Er 3.69, 3 Nd 3.69
Er: 0.0000 0.0000 0.5000  8 Nd 3.66-3.69
In: 0.0000 0.5000 0.2534  4 In 3.20, 6 Nd 3.30-3.36
In: 0.0000 0.5000 0.7466  4 In 3.20, 6 Nd 3.30-3.36
In: 0.5000 0.0000 0.2534  4 In 3.20, 6 Nd 3.30-3.36
In: 0.5000 0.0000 0.7466  4 In 3.20, 6 Nd 3.30-3.36
In: 0.5000 0.5000 0.2534  4 In 3.20, 6 Nd 3.30-3.36
In: 0.5000 0.5000 0.7466  4 In 3.20, 6 Nd 3.30-3.36

## Properties
DOS(E_F) ... 14.49 states/eV/cell
Total magnetic moment ... 1.59 μB/f.u.
Space group ... P6/mmm (191)
Energy of formation from the pure elements ... -0.32 eV per atom

Density functional theory data (PBE-GGA) for LiThAgGe after structural relaxation.

Cell lengths 4.9946, 4.9946, 4.9946 Å; angles 60.00, 60.00, 60.00 degrees
With the nearest neighbours (Å) after each atom.
Atoms (fractional coordinates):
Li: 0.0000 0.0000 0.0000  4 Ge 3.06, 4 Ag 3.06
Th: 0.5000 0.5000 0.5000  4 Ge 3.06, 4 Ag 3.06
Ag: 0.2500 0.2500 0.2500  4 Th 3.06, 4 Li 3.06
Ge: 0.7500 0.7500 0.7500  4 Th 3.06, 4 Li 3.06

## Properties
DOS(E_F) ... 2.57 states/eV/cell
Total magnetic moment ... 0.00 μB/f.u.
Space group ... F-43m (216)
Energy of formation from the pure elements ... -0.32 eV per atom

Density functional theory data (PBE-GGA) for Ac6Tl5Cu after structural relaxation.

Cell lengths 9.1918, 9.1918, 8.1477 Å; angles 90.00, 90.00, 143.20 degrees
With the nearest neighbours (Å) after each atom.
Atoms (fractional coordinates):
Ac: 0.0000 0.0000 0.2373  2 Cu 3.49, 6 Tl 3.50-3.66, 1 Ac 3.87
Ac: 0.0000 0.0000 0.7627  2 Cu 3.49, 6 Tl 3.50-3.66, 1 Ac 3.87
Ac: 0.3395 0.6605 0.2417  1 Cu 3.42, 7 Tl 3.50-3.63
Ac: 0.3395 0.6605 0.7583  1 Cu 3.42, 7 Tl 3.50-3.63
Ac: 0.6605 0.3395 0.2417  1 Cu 3.42, 7 Tl 3.50-3.63
Ac: 0.6605 0.3395 0.7583  1 Cu 3.42, 7 Tl 3.50-3.63
Tl: 0.1674 0.8326 0.0000  8 Ac 3.50-3.59
Tl: 0.1699 0.8301 0.5000  8 Ac 3.59-3.66
Tl: 0.5000 0.5000 0.5000  8 Ac 3.50-3.61
Tl: 0.8301 0.1699 0.5000  8 Ac 3.59-3.66
Tl: 0.8326 0.1674 0.0000  8 Ac 3.50-3.59
Cu: 0.5000 0.5000 0.0000  8 Ac 3.42-3.49

## Properties
DOS(E_F) ... 15.39 states/eV/cell
Total magnetic moment ... 0.00 μB/f.u.
Space group ... Cmmm (65)
Energy of formation from the pure elements ... -0.28 eV per atom

Density functional theory data (PBE-GGA) for Mg2CdMo after structural relaxation.

Cell lengths 10.1515, 10.1515, 10.1515 Å; angles 16.94, 16.94, 16.94 degrees
With the nearest neighbours (Å) after each atom.
Atoms (fractional coordinates):
Mg: 0.2434 0.2434 0.2434  3 Mo 2.88, 6 Mg 2.99, 3 Cd 3.21
Mg: 0.7566 0.7566 0.7566  3 Mo 2.88, 6 Mg 2.99, 3 Cd 3.21
Cd: 0.0000 0.0000 0.0000  6 Cd 2.99, 6 Mg 3.21
Mo: 0.5000 0.5000 0.5000  6 Mg 2.88, 6 Mo 2.99

## Properties
DOS(E_F) ... 3.02 states/eV/cell
Total magnetic moment ... 0.00 μB/f.u.
Space group ... R-3m (166)
Energy of formation from the pure elements ... 0.25 eV per atom

Density functional theory data (PBE-GGA) for Al2AgBr after structural relaxation.

Cell lengths 3.3751, 3.3751, 8.6168 Å; angles 90.00, 90.00, 120.81 degrees
With the nearest neighbours (Å) after each atom.
Atoms (fractional coordinates):
Al: 0.0000 0.0000 0.2401  2 Ag 2.66, 2 Br 2.79
Al: 0.0000 0.0000 0.7599  2 Ag 2.66, 2 Br 2.79
Ag: 0.5000 0.5000 0.0000  4 Al 2.66
Br: 0.5000 0.5000 0.5000  4 Al 2.79

## Properties
DOS(E_F) ... 1.50 states/eV/cell
Total magnetic moment ... 0.00 μB/f.u.
Space group ... Cmmm (65)
ΔE_f (raw) ... 151.8 meV per atom

Density functional theory data (PBE-GGA) for SmTlCl4 after structural relaxation.

Cell lengths 8.2425, 8.2425, 6.9976 Å; angles 108.04, 108.04, 109.65 degrees
With the nearest neighbours (Å) after each atom.
Atoms (fractional coordinates):
Sm: 0.0057 0.9943 0.7500  8 Cl 2.84-2.88
Sm: 0.9943 0.0057 0.2500  8 Cl 2.84-2.88
Tl: 0.3626 0.6374 0.2500  8 Cl 3.29-3.42
Tl: 0.6374 0.3626 0.7500  8 Cl 3.29-3.42
Cl: 0.0560 0.7432 0.9356  2 Sm 2.84-2.88
Cl: 0.2041 0.3234 0.6986  2 Sm 2.85-2.86, 2 Cl 3.19
Cl: 0.2568 0.9440 0.5644  2 Sm 2.84-2.88
Cl: 0.3234 0.2041 0.1986  2 Sm 2.85-2.86, 2 Cl 3.19
Cl: 0.6766 0.7959 0.8014  2 Sm 2.85-2.86, 2 Cl 3.19
Cl: 0.7432 0.0560 0.4356  2 Sm 2.84-2.88
Cl: 0.7959 0.6766 0.3014  2 Sm 2.85-2.86, 2 Cl 3.19
Cl: 0.9440 0.2568 0.0644  2 Sm 2.84-2.88

## Properties
DOS(E_F) ... 0.00 states/eV/cell
Total magnetic moment ... 0.00 μB/f.u.
Space group ... C2/c (15)
ΔE_f (raw) ... -1796.8 meV per atom

Density functional theory data (PBE-GGA) for Hf2MgTiOs after structural relaxation.

Cell lengths 5.0667, 5.0667, 4.7485 Å; angles 90.00, 90.00, 90.00 degrees
With the nearest neighbours (Å) after each atom.
Atoms (fractional coordinates):
Hf: 0.0000 0.5000 0.0000  2 Os 2.53
Hf: 0.5000 0.0000 0.0000  2 Os 2.53
Mg: 0.0000 0.0000 0.5000  8 Hf 3.47, 4 Ti 3.58
Ti: 0.5000 0.5000 0.5000  2 Os 2.37
Os: 0.5000 0.5000 0.0000  2 Ti 2.37, 4 Hf 2.53

## Properties
DOS(E_F) ... 6.38 states/eV/cell
Total magnetic moment ... 1.16 μB/f.u.
Space group ... P4/mmm (123)
Energy of formation from the pure elements ... 0.38 eV per atom

Density functional theory data (PBE-GGA) for TlCrI2Br after structural relaxation.

Cell lengths 5.7230, 5.7230, 5.1625 Å; angles 90.00, 90.00, 90.00 degrees
With the nearest neighbours (Å) after each atom.
Atoms (fractional coordinates):
Tl: 0.0000 0.0000 0.0000  8 I 3.85, 4 Br 4.05
Cr: 0.5000 0.5000 0.5000  2 Br 2.58, 4 I 2.86
I: 0.0000 0.5000 0.5000  2 Cr 2.86
I: 0.5000 0.0000 0.5000  2 Cr 2.86
Br: 0.5000 0.5000 0.0000  2 Cr 2.58

## Properties
DOS(E_F) ... 0.93 states/eV/cell
Total magnetic moment ... 4.00 μB/f.u.
Space group ... P4/mmm (123)
ΔE_f (raw) ... -484.1 meV per atom

Density functional theory data (PBE-GGA) for AcTm2Pd after structural relaxation.

Cell lengths 3.6007, 3.6007, 8.8283 Å; angles 90.00, 90.00, 90.00 degrees
With the nearest neighbours (Å) after each atom.
Atoms (fractional coordinates):
Ac: 0.0000 0.0000 0.0000  4 Ac 3.60, 8 Tm 3.78
Tm: 0.5000 0.5000 0.3171  4 Pd 3.01, 1 Tm 3.23
Tm: 0.5000 0.5000 0.6829  4 Pd 3.01, 1 Tm 3.23
Pd: 0.0000 0.0000 0.5000  8 Tm 3.01

## Properties
DOS(E_F) ... 4.07 states/eV/cell
Total magnetic moment ... 0.00 μB/f.u.
Space group ... P4/mmm (123)
Energy of formation from the pure elements ... -0.41 eV per atom

Density functional theory data (PBE-GGA) for Sm12MgIn3 after structural relaxation.

Cell lengths 4.9469, 4.9469, 19.7659 Å; angles 90.00, 90.00, 90.00 degrees
With the nearest neighbours (Å) after each atom.
Atoms (fractional coordinates):
Sm: 0.0000 0.0000 0.0000  4 Mg 3.50, 8 Sm 3.52
Sm: 0.0000 0.0000 0.2493  8 Sm 3.47-3.51, 4 In 3.50
Sm: 0.0000 0.0000 0.5000  8 Sm 3.50, 4 In 3.50
Sm: 0.0000 0.0000 0.7507  8 Sm 3.47-3.51, 4 In 3.50
Sm: 0.0000 0.5000 0.1265  8 Sm 3.47-3.52, 2 In 3.49, 2 Mg 3.52
Sm: 0.0000 0.5000 0.3750  4 In 3.48-3.50, 8 Sm 3.50-3.51
Sm: 0.0000 0.5000 0.6250  4 In 3.48-3.50, 8 Sm 3.50-3.51
Sm: 0.0000 0.5000 0.8735  8 Sm 3.47-3.52, 2 In 3.49, 2 Mg 3.52
Sm: 0.5000 0.0000 0.1265  8 Sm 3.47-3.52, 2 In 3.49, 2 Mg 3.52
Sm: 0.5000 0.0000 0.3750  4 In 3.48-3.50, 8 Sm 3.50-3.51
Sm: 0.5000 0.0000 0.6250  4 In 3.48-3.50, 8 Sm 3.50-3.51
Sm: 0.5000 0.0000 0.8735  8 Sm 3.47-3.52, 2 In 3.49, 2 Mg 3.52
Mg: 0.5000 0.5000 0.0000  12 Sm 3.50-3.52
In: 0.5000 0.5000 0.2513  12 Sm 3.48-3.50
In: 0.5000 0.5000 0.5000  12 Sm 3.50
In: 0.5000 0.5000 0.7487  12 Sm 3.48-3.50

## Properties
DOS(E_F) ... 25.41 states/eV/cell
Total magnetic moment ... 0.00 μB/f.u.
Space group ... P4/mmm (123)
Energy of formation from the pure elements ... -0.20 eV per atom

Density functional theory data (PBE-GGA) for SmDyYTh after structural relaxation.

Cell lengths 5.7006, 5.7006, 5.7006 Å; angles 60.00, 60.00, 60.00 degrees
With the nearest neighbours (Å) after each atom.
Atoms (fractional coordinates):
Sm: 0.0000 0.0000 0.0000  4 Dy 3.49, 4 Y 3.49
Dy: 0.2500 0.2500 0.2500  4 Th 3.49, 4 Sm 3.49
Y: 0.7500 0.7500 0.7500  4 Th 3.49, 4 Sm 3.49
Th: 0.5000 0.5000 0.5000  4 Y 3.49, 4 Dy 3.49

## Properties
DOS(E_F) ... 8.53 states/eV/cell
Total magnetic moment ... 0.00 μB/f.u.
Space group ... F-43m (216)
Energy of formation from the pure elements ... 0.15 eV per atom

no.,E_tot (eV/atom)
1,-6.637
2,-4.135
3,-4.517
4,-3.666
5,-3.479
6,-2.851
7,-4.209
8,-7.750
9,-3.837
10,-4.971
11,-4.354
12,-5.656